A geometry-optimized CsHgPbI2 structure. Source: Alexandria, functional PBE-GGA.

## Properties
Formation energy without anion corrections: -0.682 eV/atom

POSCAR file:
```
CsHgPbI2
1.0
6.480 0.000 0.000
0.000 6.480 0.000
0.000 0.000 6.103
Cs Hg Pb I
1 1 1 2
direct
0.000 0.000 0.000
0.500 0.500 0.000
0.500 0.500 0.500
0.000 0.500 0.500
0.500 0.000 0.500
```


A geometry-optimized BaAgOs2 structure. Source: Alexandria, functional PBE-GGA.

## Properties
ΔE_f: 1.70 eV per atom
Relative energy among the computed polymorphs: 129.7 kJ/mol of atoms

POSCAR file:
```
BaAgOs2
1.0
0.000 3.431 3.431
3.431 0.000 3.431
3.431 3.431 0.000
Ba Ag Os
1 1 2
direct
0.000 0.000 0.000
0.500 0.500 0.500
0.250 0.250 0.250
0.750 0.750 0.750
```


A geometry-optimized MgTiO3 structure. Source: Alexandria, functional PBE-GGA.

## Properties
Formation energy without anion corrections: -1.423 eV/atom

POSCAR file:
```
MgTiO3
1.0
3.684 0.000 0.000
0.000 3.684 0.000
0.000 0.000 3.684
Mg Ti O
1 1 3
direct
0.000 0.000 0.000
0.500 0.500 0.500
0.000 0.000 0.500
0.000 0.500 0.000
0.500 0.000 0.000
```


A geometry-optimized AlSbRhO6 structure. Source: Alexandria, functional PBE-GGA.

## Properties
Formation energy without anion corrections: -1.500 eV/atom

POSCAR file:
```
AlSbRhO6
1.0
5.051 0.000 0.000
-2.526 4.375 0.000
0.000 0.000 8.571
Al Sb Rh O
2 2 2 12
direct
0.333 0.667 0.250
0.667 0.333 0.750
0.333 0.667 0.750
0.667 0.333 0.250
0.000 0.000 0.000
0.000 0.000 0.500
0.015 0.348 0.129
0.015 0.667 0.371
0.333 0.348 0.371
0.333 0.985 0.129
0.348 0.015 0.629
0.348 0.333 0.871
0.652 0.667 0.129
0.652 0.985 0.371
0.667 0.015 0.871
0.667 0.652 0.629
0.985 0.333 0.629
0.985 0.652 0.871
```


A geometry-optimized CaPSeCl2 structure. Source: Alexandria, functional PBE-GGA.

## Properties
Formation energy without anion corrections: -0.221 eV/atom
Relative energy among the computed polymorphs: 8.4 kJ/mol of atoms

POSCAR file:
```
CaPSeCl2
1.0
5.018 0.000 0.000
0.000 5.018 0.000
0.000 0.000 6.266
Ca P Se Cl
1 1 1 2
direct
0.000 0.000 0.000
0.000 0.000 0.500
0.500 0.500 0.500
0.000 0.500 0.000
0.500 0.000 0.000
```


A geometry-optimized Zn2CoSi structure. Source: Alexandria, functional PBE-GGA.

## Properties
Formation energy without anion corrections: 0.153 eV/atom

POSCAR file:
```
Zn2CoSi
1.0
1.322 0.763 9.075
-1.322 0.763 9.075
0.000 -1.527 9.075
Zn Co Si
2 1 1
direct
0.242 0.242 0.242
0.758 0.758 0.758
0.500 0.500 0.500
0.000 0.000 0.000
```


A geometry-optimized Sc2In2Co structure. Source: Alexandria, functional PBE-GGA.

## Properties
ΔE_f: 0.35 eV per atom
Relative energy among the computed polymorphs: 43.2 kJ/mol of atoms

POSCAR file:
```
Sc2In2Co
1.0
-1.926 1.926 7.935
1.926 -1.926 7.935
1.926 1.926 -7.935
Sc In Co
2 2 1
direct
0.090 0.090 0.000
0.910 0.910 0.000
0.250 0.750 0.500
0.750 0.250 0.500
0.500 0.500 0.000
```


A geometry-optimized CaCe5Ir5 structure. Source: Alexandria, functional PBE-GGA.

## Properties
ΔE_f: -0.53 eV per atom

POSCAR file:
```
CaCe5Ir5
1.0
6.290 -2.854 0.000
6.290 2.854 0.000
-2.614 0.000 7.725
Ca Ce Ir
1 5 5
direct
0.000 0.000 0.000
0.000 0.000 0.500
0.329 0.329 0.156
0.331 0.331 0.673
0.669 0.669 0.327
0.671 0.671 0.844
0.163 0.163 0.820
0.172 0.172 0.348
0.500 0.500 0.000
0.828 0.828 0.652
0.837 0.837 0.180
```


A geometry-optimized SmBPd structure. Source: Alexandria, functional PBE-GGA.

## Properties
ΔE_f: -0.53 eV per atom

POSCAR file:
```
SmBPd
1.0
-1.685 2.107 7.177
1.685 -2.107 7.177
1.685 2.107 -7.177
Sm B Pd
2 2 2
direct
0.384 0.134 0.250
0.616 0.866 0.750
0.021 0.271 0.750
0.979 0.729 0.250
0.189 0.439 0.750
0.811 0.561 0.250
```


A geometry-optimized Ca12Pt3F5 structure. Source: Alexandria, functional PBE-GGA.

## Properties
Formation energy without anion corrections: -1.704 eV/atom

POSCAR file:
```
Ca12Pt3F5
1.0
-7.895 7.895 7.895
7.895 -7.895 7.895
7.895 7.895 -7.895
Ca Pt F
48 12 20
direct
0.031 0.216 0.127
0.031 0.315 0.904
0.089 0.716 0.685
0.089 0.873 0.404
0.096 0.627 0.411
0.096 0.969 0.685
0.127 0.031 0.216
0.127 0.596 0.911
0.185 0.216 0.589
0.185 0.469 0.596
0.216 0.127 0.031
0.216 0.589 0.185
0.284 0.315 0.911
0.284 0.469 0.373
0.315 0.904 0.031
0.315 0.911 0.284
0.373 0.284 0.469
0.373 0.589 0.904
0.404 0.089 0.873
0.404 0.815 0.531
0.411 0.096 0.627
0.411 0.815 0.784
0.469 0.373 0.284
0.469 0.596 0.185
0.531 0.404 0.815
0.531 0.627 0.716
0.589 0.185 0.216
0.589 0.904 0.373
0.596 0.185 0.469
0.596 0.911 0.127
0.627 0.411 0.096
0.627 0.716 0.531
0.685 0.089 0.716
0.685 0.096 0.969
0.716 0.531 0.627
0.716 0.685 0.089
0.784 0.411 0.815
0.784 0.873 0.969
0.815 0.531 0.404
0.815 0.784 0.411
0.873 0.404 0.089
0.873 0.969 0.784
0.904 0.031 0.315
0.904 0.373 0.589
0.911 0.127 0.596
0.911 0.284 0.315
0.969 0.685 0.096
0.969 0.784 0.873
0.125 0.250 0.375
0.125 0.375 0.750
0.250 0.375 0.125
0.250 0.875 0.625
0.375 0.125 0.250
0.375 0.750 0.125
0.625 0.250 0.875
0.625 0.875 0.750
0.750 0.125 0.375
0.750 0.625 0.875
0.875 0.625 0.250
0.875 0.750 0.625
0.000 0.000 0.000
0.000 0.000 0.500
0.000 0.500 0.000
0.000 0.500 0.500
0.125 0.750 0.875
0.125 0.875 0.250
0.250 0.125 0.875
0.250 0.625 0.375
0.375 0.250 0.625
0.375 0.625 0.750
0.500 0.000 0.000
0.500 0.000 0.500
0.500 0.500 0.000
0.500 0.500 0.500
0.625 0.375 0.250
0.625 0.750 0.375
0.750 0.375 0.625
0.750 0.875 0.125
0.875 0.125 0.750
0.875 0.250 0.125
```


A geometry-optimized Dy4Er2ThMg structure. Source: Alexandria, functional PBE-GGA.

## Properties
ΔE_f: 0.11 eV per atom

POSCAR file:
```
Dy4Er2ThMg
1.0
5.812 0.000 0.000
0.000 5.812 0.000
0.000 0.000 7.238
Dy Er Th Mg
4 2 1 1
direct
0.000 0.500 0.244
0.000 0.500 0.756
0.500 0.000 0.244
0.500 0.000 0.756
0.000 0.000 0.500
0.500 0.500 0.500
0.000 0.000 0.000
0.500 0.500 0.000
```


A geometry-optimized Ce7Ga5Ge structure. Source: Alexandria, functional PBE-GGA.

## Properties
ΔE_f: -0.33 eV per atom

POSCAR file:
```
Ce7Ga5Ge
1.0
-2.959 5.272 5.241
2.959 -5.272 5.241
2.959 5.272 -5.241
Ce Ga Ge
7 5 1
direct
0.000 0.000 0.000
0.010 0.708 0.302
0.406 0.708 0.698
0.408 0.408 0.000
0.535 0.035 0.500
0.579 0.241 0.338
0.903 0.241 0.662
0.221 0.204 0.487
0.221 0.734 0.017
0.717 0.204 0.983
0.717 0.734 0.513
0.990 0.490 0.500
0.710 0.710 0.000
```


A geometry-optimized KRhBr2 structure. Source: Alexandria, functional PBE-GGA.

## Properties
Formation energy without anion corrections: -0.246 eV/atom
Relative energy among the computed polymorphs: 35.7 kJ/mol of atoms

POSCAR file:
```
KRhBr2
1.0
5.249 0.000 0.000
0.000 5.249 0.000
0.000 0.000 3.571
K Rh Br
1 1 2
direct
0.000 0.000 0.000
0.500 0.500 0.000
0.000 0.500 0.500
0.500 0.000 0.500
```


A geometry-optimized SrSm2Hg7 structure. Source: Alexandria, functional PBE-GGA.

## Properties
ΔE_f: -0.33 eV per atom

POSCAR file:
```
SrSm2Hg7
1.0
5.154 0.000 0.000
-2.577 4.464 0.000
0.000 0.000 12.276
Sr Sm Hg
1 2 7
direct
0.000 0.000 0.000
0.333 0.667 0.651
0.667 0.333 0.442
0.000 0.000 0.301
0.000 0.000 0.565
0.333 0.667 0.139
0.333 0.667 0.386
0.333 0.667 0.892
0.667 0.333 0.167
0.667 0.333 0.775
```


A geometry-optimized Na3Pm2RhO6 structure. Source: Alexandria, functional PBE-GGA.

## Properties
Formation energy without anion corrections: -2.083 eV/atom

POSCAR file:
```
Na3Pm2RhO6
1.0
2.918 -5.062 0.000
2.918 5.062 0.000
-1.859 0.000 5.646
Na Pm Rh O
3 2 1 6
direct
0.000 0.000 0.000
0.350 0.650 0.000
0.650 0.350 0.000
0.168 0.832 0.500
0.832 0.168 0.500
0.500 0.500 0.500
0.121 0.429 0.281
0.258 0.258 0.713
0.429 0.121 0.281
0.571 0.879 0.719
0.742 0.742 0.287
0.879 0.571 0.719
```


A geometry-optimized PrSnHgBi structure. Source: Alexandria, functional PBE-GGA.

## Properties
ΔE_f: -0.31 eV per atom
Relative energy among the computed polymorphs: 15.9 kJ/mol of atoms

POSCAR file:
```
PrSnHgBi
1.0
0.000 3.893 3.893
3.893 0.000 3.893
3.893 3.893 0.000
Pr Sn Hg Bi
1 1 1 1
direct
0.000 0.000 0.000
0.500 0.500 0.500
0.750 0.750 0.750
0.250 0.250 0.250
```


A geometry-optimized RbCaNbTeSe structure. Source: Alexandria, functional PBE-GGA.

## Properties
Formation energy without anion corrections: -0.539 eV/atom
Relative energy among the computed polymorphs: 16.9 kJ/mol of atoms

POSCAR file:
```
RbCaNbTeSe
1.0
4.954 -1.859 0.000
4.954 1.859 0.000
-4.223 0.000 8.386
Rb Ca Nb Te Se
1 1 1 1 1
direct
0.000 0.000 0.000
0.103 0.103 0.595
0.754 0.754 0.405
0.422 0.422 0.301
0.399 0.399 0.649
```


A geometry-optimized SiNi2Pb structure. Source: Alexandria, functional PBE-GGA.

## Properties
Formation energy without anion corrections: 0.508 eV/atom
Relative energy among the computed polymorphs: 61.6 kJ/mol of atoms

POSCAR file:
```
SiNi2Pb
1.0
0.000 3.165 3.165
3.165 0.000 3.165
3.165 3.165 0.000
Si Ni Pb
1 2 1
direct
0.000 0.000 0.000
0.500 0.500 0.500
0.750 0.750 0.750
0.250 0.250 0.250
```


A geometry-optimized Tb3Y4Th2 structure. Source: Alexandria, functional PBE-GGA.

## Properties
ΔE_f: 0.14 eV per atom
Relative energy among the computed polymorphs: 10.7 kJ/mol of atoms

POSCAR file:
```
Tb3Y4Th2
1.0
8.273 -2.893 0.000
8.273 2.893 0.000
-1.780 0.000 6.131
Tb Y Th
3 4 2
direct
0.000 0.000 0.000
0.125 0.125 0.564
0.875 0.875 0.436
0.227 0.227 0.134
0.438 0.438 0.257
0.562 0.562 0.743
0.773 0.773 0.866
0.355 0.355 0.714
0.645 0.645 0.286
```


A geometry-optimized Sn2RhAu structure. Source: Alexandria, functional PBE-GGA.

## Properties
ΔE_f: -0.06 eV per atom
Relative energy among the computed polymorphs: 9.0 kJ/mol of atoms

POSCAR file:
```
Sn2RhAu
1.0
0.000 3.405 3.405
3.405 0.000 3.405
3.405 3.405 0.000
Sn Rh Au
2 1 1
direct
0.250 0.250 0.250
0.750 0.750 0.750
0.000 0.000 0.000
0.500 0.500 0.500
```


A geometry-optimized TbHfGe2 structure. Source: Alexandria, functional PBE-GGA.

## Properties
ΔE_f: -0.70 eV per atom
Relative energy among the computed polymorphs: 0.0 kJ/mol of atoms

POSCAR file:
```
TbHfGe2
1.0
2.073 -6.207 0.000
2.073 6.207 0.000
0.000 0.000 6.450
Tb Hf Ge
2 2 4
direct
0.052 0.948 0.750
0.948 0.052 0.250
0.221 0.779 0.250
0.779 0.221 0.750
0.386 0.614 0.545
0.386 0.614 0.955
0.614 0.386 0.045
0.614 0.386 0.455
```


A geometry-optimized SrCu2W structure. Source: Alexandria, functional PBE-GGA.

## Properties
ΔE_f: 0.73 eV per atom
Relative energy among the computed polymorphs: 6.9 kJ/mol of atoms

POSCAR file:
```
SrCu2W
1.0
5.059 -1.389 0.000
5.059 1.389 0.000
-1.372 0.000 5.142
Sr Cu W
1 2 1
direct
0.000 0.000 0.000
0.471 0.471 0.500
0.769 0.769 0.219
0.214 0.214 0.611
```


For each record above, in turn, the calculated spin magnetization values are 0.00; 2.45; 0.00; 0.00; 1.55; 1.41; 0.86; 1.49; 0.00; 0.00; 0.00; 4.99; 2.00; 0.00; 0.00; 0.00; 0.05; 0.00; 0.00; 0.00; 0.00; 0.68 μB per formula unit.
For each record above, in turn, the calculated total energy values are -2.275; -5.110; -6.296; -6.497; -3.139; -3.616; -4.702; -7.440; -6.056; -4.279; -4.454; -5.043; -3.195; -1.652; -6.296; -3.548; -4.472; -4.665; -5.930; -4.721; -6.652; -4.974 eV/atom.
For each record above, in turn, the calculated density of states at the Fermi level values are 0.533; 0.880; 0.074; 0.622; 0.694; 0.486; 0.923; 1.661; 0.347; 0.417; 1.930; 2.502; 0.991; 0.518; 0.000; 0.727; 0.366; 0.893; 1.611; 0.603; 0.450; 0.968 states/eV per atom.